1.
# SbW2Se

A PBEsol-optimized structure of SbW2Se (meta-GGA SCAN, Alexandria via LeMat-Bulk).

```
data_SbW2Se
_chemical_formula_sum 'Sb2 W4 Se2'
_cell_length_a 4.222
_cell_length_b 4.222
_cell_length_c 7.772
_cell_angle_alpha 90.00
_cell_angle_beta 90.00
_cell_angle_gamma 90.00
_space_group_name_H-M_alt 'I -4 m 2'
_space_group_IT_number 119
_space_group_name_Hall 'I -4 -2'
loop_
_atom_site_label
_atom_site_fract_x
_atom_site_fract_y
_atom_site_fract_z
Sb1 0.000 0.000 0.000
W1 0.000 0.000 0.500
W2 0.000 0.500 0.750
Se1 0.000 0.500 0.250
```

Computed properties:
E: -3.5490 Ry/atom
Formation energy from raw total energies: 3.57 eV/f.u.
Excess energy over the best structure of this formula in the dataset: 625.6 meV per atom

2.
# Sb2WSe

A PBEsol-optimized structure of Sb2WSe (meta-GGA SCAN, Alexandria via LeMat-Bulk).

```
data_Sb2WSe
_chemical_formula_sum 'Sb8 W4 Se4'
_cell_length_a 6.291
_cell_length_b 6.291
_cell_length_c 12.158
_cell_angle_alpha 90.00
_cell_angle_beta 90.00
_cell_angle_gamma 90.00
_space_group_name_H-M_alt 'I -4 2 d'
_space_group_IT_number 122
_space_group_name_Hall 'I -4 2bw'
loop_
_atom_site_label
_atom_site_fract_x
_atom_site_fract_y
_atom_site_fract_z
Sb1 0.216 0.250 0.125
W1 0.000 0.000 0.000
Se1 0.000 0.000 0.500
```

Computed properties:
E: -2.9545 Ry/atom
Formation energy from raw total energies: 3.49 eV/f.u.

3.
# SbW2Se

A PBEsol-optimized structure of SbW2Se (meta-GGA SCAN, Alexandria via LeMat-Bulk).

```
data_SbW2Se
_chemical_formula_sum 'Sb1 W2 Se1'
_cell_length_a 4.569
_cell_length_b 4.569
_cell_length_c 3.178
_cell_angle_alpha 90.00
_cell_angle_beta 90.00
_cell_angle_gamma 90.00
_space_group_name_H-M_alt 'P 4/m m m'
_space_group_IT_number 123
_space_group_name_Hall '-P 4 2'
loop_
_atom_site_label
_atom_site_fract_x
_atom_site_fract_y
_atom_site_fract_z
Sb1 0.000 0.000 0.000
W1 0.000 0.500 0.500
Se1 0.500 0.500 0.000
```

Computed properties:
E: -3.5573 Ry/atom
Formation energy from raw total energies: 3.12 eV/f.u.
Excess energy over the best structure of this formula in the dataset: 513.6 meV per atom

4.
# Sb2WSe

A PBEsol-optimized structure of Sb2WSe (meta-GGA SCAN, Alexandria via LeMat-Bulk).

```
data_Sb2WSe
_chemical_formula_sum 'Sb4 W2 Se2'
_cell_length_a 8.857
_cell_length_b 3.296
_cell_length_c 6.583
_cell_angle_alpha 90.00
_cell_angle_beta 108.07
_cell_angle_gamma 90.00
_space_group_name_H-M_alt 'C 1 m 1'
_space_group_IT_number 8
loop_
_space_group_symop_operation_xyz
'x,y,z'
'x,-y,z'
'x+1/2,y+1/2,z'
'x+1/2,-y+1/2,z'
loop_
_atom_site_label
_atom_site_fract_x
_atom_site_fract_y
_atom_site_fract_z
Sb1 0.000 0.000 0.000
Sb2 0.198 0.000 0.717
W1 0.139 0.500 0.356
Se1 0.351 0.000 0.353
```

Computed properties:
E: -3.0024 Ry/atom
Formation energy from raw total energies: 0.89 eV/f.u.

| no. | total magnetization (μB per cell) | DOS(E_F) (states/eV/atom) |
| --- | --- | --- |
| 1 | 0.0 | 0.684 |
| 2 | 0.0 | 0.630 |
| 3 | 0.0 | 0.897 |
| 4 | 0.0 | 0.439 |